First-principles (PBE) data for Pr15Nd4Er after structural relaxation, as listed in the Alexandria database.

Lattice parameters (Å, degrees): 5.2387 5.2387 26.0884 90.00 90.00 90.00
With the nearest neighbours (Å) after each atom.
Fractional positions:
Pr 0.0000 0.0000 0.0000  8 Pr 3.67, 4 Er 3.70
Pr 0.0000 0.0000 0.1984  8 Pr 3.70-3.71, 4 Nd 3.70
Pr 0.0000 0.0000 0.3997  8 Pr 3.70-3.71, 4 Nd 3.70
Pr 0.0000 0.0000 0.6003  8 Pr 3.70-3.71, 4 Nd 3.70
Pr 0.0000 0.0000 0.8016  8 Pr 3.70-3.71, 4 Nd 3.70
Pr 0.0000 0.5000 0.0983  8 Pr 3.67-3.70, 2 Er 3.67, 2 Nd 3.70
Pr 0.0000 0.5000 0.2992  4 Nd 3.70-3.71, 8 Pr 3.70-3.71
Pr 0.0000 0.5000 0.5000  8 Pr 3.70, 4 Nd 3.71
Pr 0.0000 0.5000 0.7008  4 Nd 3.70-3.71, 8 Pr 3.70-3.71
Pr 0.0000 0.5000 0.9017  2 Er 3.67, 8 Pr 3.67-3.70, 2 Nd 3.70
Pr 0.5000 0.0000 0.0983  8 Pr 3.67-3.70, 2 Er 3.67, 2 Nd 3.70
Pr 0.5000 0.0000 0.2992  4 Nd 3.70-3.71, 8 Pr 3.70-3.71
Pr 0.5000 0.0000 0.5000  8 Pr 3.70, 4 Nd 3.71
Pr 0.5000 0.0000 0.7008  4 Nd 3.70-3.71, 8 Pr 3.70-3.71
Pr 0.5000 0.0000 0.9017  2 Er 3.67, 8 Pr 3.67-3.70, 2 Nd 3.70
Nd 0.5000 0.5000 0.1986  12 Pr 3.70-3.71
Nd 0.5000 0.5000 0.3995  12 Pr 3.70-3.71
Nd 0.5000 0.5000 0.6005  12 Pr 3.70-3.71
Nd 0.5000 0.5000 0.8014  12 Pr 3.70-3.71
Er 0.5000 0.5000 0.0000  12 Pr 3.67-3.70

Computed properties:
Calculated formation energy   0.01 eV/atom
Crystal system   tetragonal
Total energy   -0.1747 hartree per atom